#A
! PBE TcTeC3, relaxed; values from VASP
&SYSTEM
  ibrav = 0, nat = 5, ntyp = 3
/
ATOMIC_SPECIES
C 12.01 C.upf
Te 127.60 Te.upf
Tc 98.00 Tc.upf
CELL_PARAMETERS angstrom
4.1063 0.0000 0.0000
0.0000 4.1063 0.0000
0.0000 0.0000 4.1063
ATOMIC_POSITIONS angstrom
C 0.0000 2.0531 0.0000
C 0.0000 0.0000 2.0531
C 2.0531 0.0000 0.0000
Te 2.0531 2.0531 2.0531
Tc 0.0000 0.0000 0.0000
! * SG: Pm-3m, No. 221
! * density: 6.3 g/cm3



#B
! PBE TcTeC3, relaxed; values from VASP
&SYSTEM
  ibrav = 0, nat = 5, ntyp = 3
/
ATOMIC_SPECIES
C 12.01 C.upf
Te 127.60 Te.upf
Tc 98.00 Tc.upf
CELL_PARAMETERS angstrom
-2.2695 1.9866 -2.7488
-1.1212 -3.5610 -1.6479
-3.2009 -0.1612 2.5262
ATOMIC_POSITIONS angstrom
C -0.5606 -1.7805 -0.8239
C -1.6004 -0.0806 1.2631
C -1.1347 0.9933 -1.3744
Te 0.0000 0.0000 0.0000
Tc -3.2958 -0.8678 -0.9353
! * SG: Pm-3m, No. 221
! * density: 6.4 g/cm3



Ranked by calculated energy, most stable first: #A, #B.



#A
! PBE ThTc3C, relaxed; values from VASP
&SYSTEM
  ibrav = 0, nat = 5, ntyp = 3
/
ATOMIC_SPECIES
C 12.01 C.upf
Tc 98.00 Tc.upf
Th 232.04 Th.upf
CELL_PARAMETERS angstrom
4.2664 0.0000 0.0000
0.0000 4.2664 0.0000
0.0000 0.0000 4.2664
ATOMIC_POSITIONS angstrom
C 0.0000 0.0000 0.0000
Tc 0.0000 2.1332 0.0000
Tc 0.0000 0.0000 2.1332
Tc 2.1332 0.0000 0.0000
Th 2.1332 2.1332 2.1332
! * SG: Pm-3m, No. 221
! * density: 11.5 g/cm3



#B
! PBE ThTc3C, relaxed; values from VASP
&SYSTEM
  ibrav = 0, nat = 10, ntyp = 3
/
ATOMIC_SPECIES
Th 232.04 Th.upf
Tc 98.00 Tc.upf
C 12.01 C.upf
CELL_PARAMETERS angstrom
5.4420 0.0000 0.0000
0.0000 5.7327 0.2521
0.0000 -2.3703 5.2258
ATOMIC_POSITIONS angstrom
Th 4.0815 2.2727 2.3758
Th 1.3605 1.0896 3.1021
Tc 4.0815 0.6818 4.8922
Tc 4.0815 -0.6912 2.6552
Tc 1.3605 4.0536 2.8226
Tc 1.3605 2.6805 0.5857
Tc 0.0000 0.0000 0.0000
Tc 2.7210 0.0000 0.0000
C 4.0815 4.4267 1.0537
C 1.3605 -1.0643 4.4241
! * SG: Cmcm, No. 63
! * density: 10.7 g/cm3



Ranked by calculated energy, most stable first: #A, #B.



#A
! PBE Ti3TcC, relaxed; values from VASP
&SYSTEM
  ibrav = 0, nat = 5, ntyp = 3
/
ATOMIC_SPECIES
C 12.01 C.upf
Tc 98.00 Tc.upf
Ti 47.87 Ti.upf
CELL_PARAMETERS angstrom
-3.4508 0.2804 3.0924
-1.8901 -3.8577 -1.7593
2.4636 -2.5669 2.9819
ATOMIC_POSITIONS angstrom
C -1.4387 -3.0721 2.1575
Tc 0.0000 0.0000 0.0000
Ti -0.9450 -1.9289 -0.8797
Ti 1.2318 -1.2835 1.4909
Ti -1.7254 0.1402 1.5462
! * SG: Pm-3m, No. 221
! * density: 4.2 g/cm3



#B
! PBE Ti3TcC, relaxed; values from VASP
&SYSTEM
  ibrav = 0, nat = 5, ntyp = 3
/
ATOMIC_SPECIES
C 12.01 C.upf
Tc 98.00 Tc.upf
Ti 47.87 Ti.upf
CELL_PARAMETERS angstrom
4.1510 0.0000 0.0000
0.0000 4.1510 0.0000
0.0000 0.0000 4.1510
ATOMIC_POSITIONS angstrom
C 0.0000 0.0000 0.0000
Tc 2.0755 2.0755 2.0755
Ti 0.0000 2.0755 0.0000
Ti 0.0000 0.0000 2.0755
Ti 2.0755 0.0000 0.0000
! * SG: Pm-3m, No. 221
! * density: 5.9 g/cm3



Ranked by calculated energy, most stable first: #B, #A.



#A
! PBE Tl3TcC, relaxed; values from VASP
&SYSTEM
  ibrav = 0, nat = 5, ntyp = 3
/
ATOMIC_SPECIES
C 12.01 C.upf
Tl 204.38 Tl.upf
Tc 98.00 Tc.upf
CELL_PARAMETERS angstrom
-3.2562 -3.5017 -2.3403
4.1966 -2.4469 -2.1778
0.3568 -3.1769 4.2569
ATOMIC_POSITIONS angstrom
C 0.6486 -4.5627 -0.1306
Tl 2.0983 -1.2234 -1.0889
Tl 0.1784 -1.5885 2.1285
Tl -1.6281 -1.7508 -1.1702
Tc 0.0000 0.0000 0.0000
! * SG: Pm-3m, No. 221
! * density: 8.0 g/cm3



#B
! PBE Tl3TcC, relaxed; values from VASP
&SYSTEM
  ibrav = 0, nat = 5, ntyp = 3
/
ATOMIC_SPECIES
C 12.01 C.upf
Tl 204.38 Tl.upf
Tc 98.00 Tc.upf
CELL_PARAMETERS angstrom
-0.3307 -1.3000 -4.6835
-1.5346 -4.4263 1.3370
-4.6120 1.5661 -0.1090
ATOMIC_POSITIONS angstrom
C 0.0000 0.0000 0.0000
Tl -0.7673 -2.2131 0.6685
Tl -2.3060 0.7830 -0.0545
Tl -0.1654 -0.6500 -2.3418
Tc -3.2387 -2.0801 -1.7278
! * SG: Pm-3m, No. 221
! * density: 10.4 g/cm3



Ranked by calculated energy, most stable first: #B, #A.



#A
! PBE TlTcC2, relaxed; values from VASP
&SYSTEM
  ibrav = 0, nat = 8, ntyp = 3
/
ATOMIC_SPECIES
C 12.01 C.upf
Tl 204.38 Tl.upf
Tc 98.00 Tc.upf
CELL_PARAMETERS angstrom
5.8426 0.0000 0.0000
0.0000 5.8426 0.0000
2.9213 2.9213 4.8061
ATOMIC_POSITIONS angstrom
C 2.9448 1.4607 1.2015
C 2.8978 4.3820 1.2015
C 4.3820 5.8191 3.6046
C 7.3033 5.8662 3.6046
Tl 0.0000 0.0000 0.0000
Tl 5.8426 2.9213 2.4031
Tc 2.9213 2.9213 0.0000
Tc 2.9213 5.8426 2.4031
! * SG: I-42d, No. 122
! * density: 6.6 g/cm3



#B
! PBE TlTcC2, relaxed; values from VASP
&SYSTEM
  ibrav = 0, nat = 4, ntyp = 3
/
ATOMIC_SPECIES
C 12.01 C.upf
Tl 204.38 Tl.upf
Tc 98.00 Tc.upf
CELL_PARAMETERS angstrom
-3.4909 -1.2670 -1.7521
-3.3315 2.3989 0.0911
-1.3356 1.7904 -3.4456
ATOMIC_POSITIONS angstrom
C -2.0395 0.7306 -1.2766
C -6.1185 2.1917 -3.8299
Tl -4.0790 1.4612 -2.5533
Tc 0.0000 0.0000 0.0000
! * SG: Fm-3m, No. 225
! * density: 11.1 g/cm3



Ranked by calculated energy, most stable first: #A, #B.



#A
! PBE TlTcC3, relaxed; values from VASP
&SYSTEM
  ibrav = 0, nat = 5, ntyp = 3
/
ATOMIC_SPECIES
C 12.01 C.upf
Tl 204.38 Tl.upf
Tc 98.00 Tc.upf
CELL_PARAMETERS angstrom
4.1226 0.0000 0.0000
0.0000 4.1226 0.0000
0.0000 0.0000 4.1226
ATOMIC_POSITIONS angstrom
C 0.0000 2.0613 0.0000
C 0.0000 0.0000 2.0613
C 2.0613 0.0000 0.0000
Tl 2.0613 2.0613 2.0613
Tc 0.0000 0.0000 0.0000
! * SG: Pm-3m, No. 221
! * density: 8.0 g/cm3



#B
! PBE TlTcC3, relaxed; values from VASP
&SYSTEM
  ibrav = 0, nat = 5, ntyp = 3
/
ATOMIC_SPECIES
C 12.01 C.upf
Tl 204.38 Tl.upf
Tc 98.00 Tc.upf
CELL_PARAMETERS angstrom
4.2206 0.0000 0.0000
0.0000 4.2206 0.0000
0.0000 0.0000 4.2206
ATOMIC_POSITIONS angstrom
C 0.0000 2.1103 0.0000
C 0.0000 0.0000 2.1103
C 2.1103 0.0000 0.0000
Tl 0.0000 0.0000 0.0000
Tc 2.1103 2.1103 2.1103
! * SG: Pm-3m, No. 221
! * density: 7.5 g/cm3



Ranked by calculated energy, most stable first: #A, #B.



#A
! PBE Tm2TcC2, relaxed; values from VASP
&SYSTEM
  ibrav = 0, nat = 20, ntyp = 3
/
ATOMIC_SPECIES
Tm 168.93 Tm.upf
Tc 98.00 Tc.upf
C 12.01 C.upf
CELL_PARAMETERS angstrom
-3.3800 -2.0868 3.0629
4.8025 -2.6065 3.5240
0.1881 7.9565 5.6286
ATOMIC_POSITIONS angstrom
Tm 0.8098 1.1195 7.8175
Tm 3.1300 -2.2083 4.0032
Tm 0.8007 2.1437 4.3979
Tm -1.5194 5.4715 8.2123
Tm -2.3138 0.5959 4.0137
Tm 1.5356 4.4967 6.8120
Tm 3.9244 2.6673 8.2018
Tm 0.0750 -1.2335 5.4034
Tc -1.3847 2.8984 6.6078
Tc 0.5493 -0.2199 2.5101
Tc 2.9952 0.3648 5.6077
Tc 1.0612 3.4831 9.7054
C -0.2457 3.3066 8.1428
C -0.5417 1.3986 2.4088
C 1.8563 -0.0434 4.0726
C 2.1523 1.8646 9.8067
C 1.4362 -3.2956 5.5006
C 2.5015 2.1161 6.2560
C 0.1744 6.5588 6.7149
C -0.8909 1.1471 5.9595
! * SG: Pnma, No. 62
! * density: 9.6 g/cm3



#B
! PBE Tm2TcC2, relaxed; values from VASP
&SYSTEM
  ibrav = 0, nat = 10, ntyp = 3
/
ATOMIC_SPECIES
Tm 168.93 Tm.upf
Tc 98.00 Tc.upf
C 12.01 C.upf
CELL_PARAMETERS angstrom
-1.7683 4.2519 1.9652
-0.9025 -4.8974 3.4060
6.1008 2.4601 0.1669
ATOMIC_POSITIONS angstrom
Tm 2.2620 2.6649 2.6474
Tm 1.1680 -0.8503 2.8907
Tm 4.6091 1.7398 0.3831
Tm -1.1791 0.0748 5.1550
Tc 4.0269 0.1401 3.3203
Tc -0.5969 1.6745 2.2179
C 3.0619 0.4999 1.6736
C 0.3681 1.3147 3.8645
C -0.3762 -2.1712 4.3590
C 3.8063 3.9858 1.1791
! * SG: C2/m, No. 12
! * density: 9.6 g/cm3



Ranked by calculated energy, most stable first: #A, #B.



#A
! PBE UTcC, relaxed; values from VASP
&SYSTEM
  ibrav = 0, nat = 6, ntyp = 3
/
ATOMIC_SPECIES
Tc 98.00 Tc.upf
C 12.01 C.upf
U 238.03 U.upf
CELL_PARAMETERS angstrom
0.0224 2.7824 1.3742
-4.6271 -0.4689 1.0223
6.0459 -0.7206 4.8643
ATOMIC_POSITIONS angstrom
Tc 2.3370 -0.6348 4.7504
Tc -0.8958 2.2276 2.5105
C -0.5885 0.2514 3.0028
C 2.0297 1.3414 4.2580
U -0.1447 0.8520 5.2834
U 1.5859 0.7408 1.9774
! * SG: Cmcm, No. 63
! * density: 13.1 g/cm3



#B
! PBE UTcC, relaxed; values from VASP
&SYSTEM
  ibrav = 0, nat = 3, ntyp = 3
/
ATOMIC_SPECIES
C 12.01 C.upf
U 238.03 U.upf
Tc 98.00 Tc.upf
CELL_PARAMETERS angstrom
-0.5415 1.9558 -2.0408
-2.7607 -0.8124 -0.0460
0.5899 2.8335 4.5883
ATOMIC_POSITIONS angstrom
C -2.0816 1.9533 0.3949
U -0.0279 0.0894 0.0931
Tc -0.6028 1.9342 2.0135
! * SG: I4mm, No. 107
! * density: 13.9 g/cm3



Ranked by calculated energy, most stable first: #A, #B.



#A
! PBE UTcC, relaxed; values from VASP
&SYSTEM
  ibrav = 0, nat = 12, ntyp = 3
/
ATOMIC_SPECIES
U 238.03 U.upf
Tc 98.00 Tc.upf
C 12.01 C.upf
CELL_PARAMETERS angstrom
4.0003 0.0000 0.0000
0.0000 6.5994 0.0000
0.0000 0.0000 6.5994
ATOMIC_POSITIONS angstrom
U 0.0000 5.1148 0.0000
U 2.0001 0.0000 5.1148
U 2.0001 0.0000 1.4846
U 0.0000 1.4846 0.0000
Tc 0.0000 4.6333 3.2997
Tc 2.0001 3.2997 4.6333
Tc 2.0001 3.2997 1.9661
Tc 0.0000 1.9661 3.2997
C 0.0000 3.2997 5.0852
C 2.0001 1.5142 3.2997
C 2.0001 5.0852 3.2997
C 0.0000 3.2997 1.5142
! * SG: P4_2/mmc, No. 131
! * density: 13.3 g/cm3



#B
! PBE UTcC, relaxed; values from VASP
&SYSTEM
  ibrav = 0, nat = 3, ntyp = 3
/
ATOMIC_SPECIES
C 12.01 C.upf
U 238.03 U.upf
Tc 98.00 Tc.upf
CELL_PARAMETERS angstrom
3.7187 0.0000 0.0000
0.0000 3.7069 0.0000
0.0000 -1.8534 3.2102
ATOMIC_POSITIONS angstrom
C 0.3327 0.0000 0.0000
U 2.5803 1.8534 1.0701
Tc 0.8057 0.0000 2.1402
! * SG: P3m1, No. 156
! * density: 13.1 g/cm3



Ranked by calculated energy, most stable first: #A, #B.



#A
! PBE VTcC2, relaxed; values from VASP
&SYSTEM
  ibrav = 0, nat = 8, ntyp = 3
/
ATOMIC_SPECIES
C 12.01 C.upf
Tc 98.00 Tc.upf
V 50.94 V.upf
CELL_PARAMETERS angstrom
4.5582 0.0000 0.0000
0.0000 4.5582 0.0000
2.2791 2.2791 4.5912
ATOMIC_POSITIONS angstrom
C 3.4143 1.1396 1.1478
C 1.1439 3.4187 1.1478
C 3.4187 3.4230 3.4434
C 5.6978 5.6934 3.4434
Tc 0.0000 0.0000 0.0000
Tc 4.5582 2.2791 2.2956
V 2.2791 2.2791 0.0000
V 2.2791 4.5582 2.2956
! * SG: I-42d, No. 122
! * density: 6.0 g/cm3



#B
! PBE VTcC2, relaxed; values from VASP
&SYSTEM
  ibrav = 0, nat = 4, ntyp = 3
/
ATOMIC_SPECIES
C 12.01 C.upf
Tc 98.00 Tc.upf
V 50.94 V.upf
CELL_PARAMETERS angstrom
-0.9192 2.0758 2.9537
-3.5221 1.1207 0.4656
-2.0736 -1.4591 2.7294
ATOMIC_POSITIONS angstrom
C -1.6287 0.4344 1.5372
C -4.8862 1.3031 4.6116
Tc -3.2575 0.8687 3.0744
V 0.0000 0.0000 0.0000
! * SG: Fm-3m, No. 225
! * density: 7.9 g/cm3



Ranked by calculated energy, most stable first: #A, #B.



#A
! PBE VTc3C, relaxed; values from VASP
&SYSTEM
  ibrav = 0, nat = 5, ntyp = 3
/
ATOMIC_SPECIES
C 12.01 C.upf
Tc 98.00 Tc.upf
V 50.94 V.upf
CELL_PARAMETERS angstrom
4.4390 0.0000 0.0000
0.0000 4.4390 0.0000
0.0000 0.0000 4.4390
ATOMIC_POSITIONS angstrom
C 2.2195 2.2195 2.2195
Tc 0.0000 2.2195 0.0000
Tc 0.0000 0.0000 2.2195
Tc 2.2195 0.0000 0.0000
V 0.0000 0.0000 0.0000
! * SG: Pm-3m, No. 221
! * density: 6.8 g/cm3



#B
! PBE VTc3C, relaxed; values from VASP
&SYSTEM
  ibrav = 0, nat = 5, ntyp = 3
/
ATOMIC_SPECIES
C 12.01 C.upf
Tc 98.00 Tc.upf
V 50.94 V.upf
CELL_PARAMETERS angstrom
4.0419 0.0000 0.0000
0.0000 4.0419 0.0000
0.0000 0.0000 4.0419
ATOMIC_POSITIONS angstrom
C 0.0000 0.0000 0.0000
Tc 0.0000 2.0209 0.0000
Tc 0.0000 0.0000 2.0209
Tc 2.0209 0.0000 0.0000
V 2.0209 2.0209 2.0209
! * SG: Pm-3m, No. 221
! * density: 9.0 g/cm3



Ranked by calculated energy, most stable first: #B, #A.



#A
! PBE TcWC3, relaxed; values from VASP
&SYSTEM
  ibrav = 0, nat = 5, ntyp = 3
/
ATOMIC_SPECIES
C 12.01 C.upf
Tc 98.00 Tc.upf
W 183.84 W.upf
CELL_PARAMETERS angstrom
4.0081 0.0000 0.0000
0.0000 4.0081 0.0000
0.0000 0.0000 4.0081
ATOMIC_POSITIONS angstrom
C 0.0000 2.0041 0.0000
C 0.0000 0.0000 2.0041
C 2.0041 0.0000 0.0000
Tc 2.0041 2.0041 2.0041
W 0.0000 0.0000 0.0000
! * SG: Pm-3m, No. 221
! * density: 8.2 g/cm3



#B
! PBE TcWC3, relaxed; values from VASP
&SYSTEM
  ibrav = 0, nat = 5, ntyp = 3
/
ATOMIC_SPECIES
C 12.01 C.upf
Tc 98.00 Tc.upf
W 183.84 W.upf
CELL_PARAMETERS angstrom
-2.1272 1.4996 2.9192
2.4992 -1.5146 2.5991
2.1271 3.2792 -0.1345
ATOMIC_POSITIONS angstrom
C 1.2496 -0.7573 1.2996
C 1.0635 1.6396 -0.0672
C -1.0636 0.7498 1.4596
Tc 0.0000 0.0000 0.0000
W 1.2495 1.6321 2.6920
! * SG: Pm-3m, No. 221
! * density: 8.8 g/cm3



Ranked by calculated energy, most stable first: #A, #B.



#A
! PBE Zr3TcC, relaxed; values from VASP
&SYSTEM
  ibrav = 0, nat = 5, ntyp = 3
/
ATOMIC_SPECIES
C 12.01 C.upf
Tc 98.00 Tc.upf
Zr 91.22 Zr.upf
CELL_PARAMETERS angstrom
-0.0509 -3.1015 3.2647
-3.1852 -2.2831 -2.2186
3.1831 -2.3342 -2.1679
ATOMIC_POSITIONS angstrom
C 0.0000 0.0000 0.0000
Tc -0.0265 -3.8594 -0.5609
Zr -1.5926 -1.1415 -1.1093
Zr 1.5915 -1.1671 -1.0839
Zr -0.0255 -1.5507 1.6324
! * SG: Pm-3m, No. 221
! * density: 7.0 g/cm3



#B
! PBE Zr3TcC, relaxed; values from VASP
&SYSTEM
  ibrav = 0, nat = 5, ntyp = 3
/
ATOMIC_SPECIES
C 12.01 C.upf
Tc 98.00 Tc.upf
Zr 91.22 Zr.upf
CELL_PARAMETERS angstrom
-0.2071 4.3869 2.2989
-4.2969 0.9850 -2.2668
-2.4629 -2.0875 3.7615
ATOMIC_POSITIONS angstrom
C -3.4835 1.6422 1.8968
Tc 0.0000 0.0000 0.0000
Zr -2.1485 0.4925 -1.1334
Zr -1.2314 -1.0437 1.8808
Zr -0.1036 2.1934 1.1494
! * SG: Pm-3m, No. 221
! * density: 5.2 g/cm3



Ranked by calculated energy, most stable first: #A, #B.